Record 1
ZnSb2IO: optimized geometry, GGA-PBE.

abc: 4.4565 4.4565 7.0955
angles: 90.00 90.00 90.00
Atoms (fractional coordinates):
Zn: 0.5000 0.5000 0.5000
Sb: 0.0000 0.5000 0.0000
I: 0.0000 0.0000 0.5000
O: 0.0000 0.0000 0.0000
Sb: 0.5000 0.0000 0.0000

Output
Relative energy among the computed polymorphs in meV/atom: 0.0
SG: P4/mmm, No. 123
Raw formation energy in eV per atom: 0.13
Crystal system: tetragonal


Record 2
Re2Ir7Os2: optimized geometry, GGA-PBE.

abc: 4.7639 6.1040 6.1040
angles: 80.65 97.85 97.85
Atoms (fractional coordinates):
Ir: 0.7681 0.5347 0.5347
Ir: 0.7578 0.5915 0.9491
Os: 0.2489 0.7682 0.7682
Os: 0.7511 0.2318 0.2318
Ir: 0.2319 0.4653 0.4653
Ir: 0.7578 0.9491 0.5915
Re: 0.5000 0.8224 0.1776
Ir: 0.2422 0.4085 0.0509
Ir: 0.0000 0.0000 0.0000
Re: 0.5000 0.1776 0.8224
Ir: 0.2422 0.0509 0.4085

Output
ΔH_f (0 K) in eV per atom: 0.31
SG: C2/m, No. 12
Crystal system: monoclinic


Record 3
Tb5Ho4Sc: optimized geometry, GGA-PBE.

abc: 5.7566 7.9781 7.9781
angles: 82.52 68.85 68.85
Atoms (fractional coordinates):
Tb: 0.1463 0.6268 0.0000
Tb: 0.6739 0.0000 0.0000
Tb: 0.7730 0.3732 0.0000
Ho: 0.7712 0.6765 0.6766
Ho: 0.4477 0.6766 0.3235
Ho: 0.4477 0.3234 0.6765
Sc: 0.2069 0.0000 0.0000
Tb: 0.1463 0.0000 0.6268
Ho: 0.1243 0.3235 0.3234
Tb: 0.7730 0.0000 0.3732

Output
Relative energy among the computed polymorphs in meV/atom: 128.8
ΔH_f (0 K) in eV per atom: 0.24
SG: I4mm, No. 107
Crystal system: tetragonal


Record 4
CaPtS: optimized geometry, GGA-PBE.

abc: 4.5734 4.5734 6.0707
angles: 90.00 90.00 90.00
Atoms (fractional coordinates):
Ca: 0.0000 0.5000 0.8328
S: 0.5000 0.5000 0.5000
S: 0.0000 0.0000 0.5000
Pt: 0.5000 0.0000 0.6721
Ca: 0.5000 0.0000 0.1672
Pt: 0.0000 0.5000 0.3279

Output
SG: P4/nmm, No. 129
Raw formation energy in eV per atom: -0.65
Crystal system: tetragonal


Record 5
LaTb2PrNd6: optimized geometry, GGA-PBE.

abc: 9.8781 9.0236 9.0236
angles: 117.52 94.04 94.04
Atoms (fractional coordinates):
Nd: 0.3194 0.9802 0.4344
Nd: 0.3796 0.5111 0.2961
La: 0.7500 0.5943 0.4057
Tb: 0.0466 0.2934 0.1955
Pr: 0.2500 0.9703 0.0297
Nd: 0.5561 0.7550 0.1109
Nd: 0.6806 0.0198 0.5656
Tb: 0.4534 0.8045 0.7066
Nd: 0.1806 0.5656 0.0198
La: 0.2500 0.4057 0.5943
Nd: 0.8796 0.2961 0.5111
Nd: 0.9439 0.8891 0.2450
Tb: 0.5466 0.1955 0.2934
Tb: 0.9534 0.7066 0.8045
Nd: 0.1204 0.7039 0.4889
Nd: 0.6204 0.4889 0.7039
Nd: 0.4439 0.2450 0.8891
Pr: 0.7500 0.0297 0.9703
Nd: 0.0561 0.1109 0.7550
Nd: 0.8194 0.4344 0.9802

Output
ΔH_f (0 K) in eV per atom: 0.11
SG: C2/c, No. 15
Crystal system: monoclinic


Record 6
RbNiOs3: optimized geometry, GGA-PBE.

abc: 4.6987 4.6987 4.6987
angles: 90.00 90.00 90.00
Atoms (fractional coordinates):
Os: 0.5000 0.0000 0.0000
Ni: 0.5000 0.5000 0.5000
Os: 0.0000 0.0000 0.5000
Os: 0.0000 0.5000 0.0000
Rb: 0.0000 0.0000 0.0000

Output
Relative energy among the computed polymorphs in meV/atom: 2051.1
ΔH_f (0 K) in eV per atom: 4.31
SG: Pm-3m, No. 221
Crystal system: cubic


Record 7
UCdSb2: optimized geometry, GGA-PBE.

abc: 3.1718 3.1718 12.1626
angles: 82.51 82.51 60.00
Atoms (fractional coordinates):
Cd: 0.0000 0.0000 0.0000
Sb: 0.9089 0.9089 0.2734
Sb: 0.0911 0.0911 0.7266
U: 0.5000 0.5000 0.5000

Output
Relative energy among the computed polymorphs in meV/atom: 227.0
SG: R-3m, No. 166
Raw formation energy in eV per atom: 0.03
Crystal system: trigonal


Record 8
Cr2MoP: optimized geometry, GGA-PBE.

abc: 2.8362 3.8150 4.7395
angles: 90.00 90.00 90.00
Atoms (fractional coordinates):
P: 0.5000 0.5000 0.7579
Cr: 0.0000 0.0000 0.9921
Mo: 0.0000 0.0000 0.5066
Cr: 0.5000 0.5000 0.2434

Output
ΔH_f (0 K) in eV per atom: 0.01
SG: Pmm2, No. 25
Crystal system: orthorhombic


Record 9
Cu2SBr: optimized geometry, GGA-PBE.

abc: 3.7806 3.7806 6.8664
angles: 74.02 74.02 60.00
Atoms (fractional coordinates):
Cu: 0.1216 0.1216 0.6351
Cu: 0.8784 0.8784 0.3649
S: 0.5000 0.5000 0.5000
Br: 0.0000 0.0000 0.0000

Output
Relative energy among the computed polymorphs in meV/atom: 120.8
SG: R-3m, No. 166
Raw formation energy in eV per atom: -0.13
Crystal system: trigonal